# 1
Material: YCl4
Method: DFT, GGA-PBEsol
State: relaxed

- N(E_F): 4.38 states/eV per cell
- ΔE_f (raw): -1.5255 eV per atom
- Total moment: 0.0 μB per formula unit

Cell lengths 5.4688, 5.4688, 5.4688 Å; angles 109.47, 109.47, 109.47 degrees
Fractional coordinates of all 5 atoms:
1 Y 0.0000 0.0000 0.0000
2 Cl 0.0000 0.0000 0.5000
3 Cl 0.0000 0.5000 0.0000
4 Cl 0.5000 0.0000 0.0000
5 Cl 0.5000 0.5000 0.5000

---

# 2
Material: CdGeC2
Method: DFT, GGA-PBEsol
State: relaxed

- Calculated total energy: -5.111 eV/atom
- N(E_F): 3.01 states/eV per cell
- Total moment: 0.0 μB per formula unit

Cell lengths 5.7008, 5.7008, 5.7008 Å; angles 128.02, 128.02, 76.60 degrees
Fractional coordinates of all 8 atoms:
1 Cd 0.0000 0.0000 0.0000
2 Cd 0.7500 0.2500 0.5000
3 Ge 0.2500 0.7500 0.5000
4 Ge 0.5000 0.5000 0.0000
5 C 0.1734 0.6250 0.0484
6 C 0.3750 0.4234 0.5484
7 C 0.5766 0.1250 0.9516
8 C 0.8750 0.8266 0.4516

---

# 3
Material: Sr2Ni
Method: DFT, GGA-PBEsol
State: relaxed

- Calculated total energy: -3.160 eV/atom
- N(E_F): 2.74 states/eV per cell
- Total moment: 0.0 μB per formula unit

Cell lengths 6.9526, 6.9526, 7.1649 Å; angles 90.00, 90.00, 146.85 degrees
Fractional coordinates of all 6 atoms:
1 Sr 0.0079 0.9921 0.5000
2 Sr 0.2703 0.7297 0.3072
3 Sr 0.7297 0.2703 0.8072
4 Sr 0.9921 0.0079 0.0000
5 Ni 0.3862 0.6138 0.7207
6 Ni 0.6138 0.3862 0.2207

---

# 4
Material: Sr2Be2B2O7
Method: DFT, GGA-PBEsol
State: relaxed

- N(E_F): 0.00 states/eV per cell
- ΔE_f (raw): -2.8131 eV per atom
- Total moment: 0.0 μB per formula unit

Cell lengths 4.6852, 4.6852, 15.4087 Å; angles 90.00, 90.00, 120.00 degrees
Fractional coordinates of all 26 atoms:
1 Sr 0.0000 0.0000 0.0000
2 Sr 0.0000 0.0000 0.2500
3 Sr 0.0000 0.0000 0.5000
4 Sr 0.0000 0.0000 0.7500
5 Be 0.6667 0.3333 0.1020
6 Be 0.6667 0.3333 0.3980
7 Be 0.6667 0.3333 0.6020
8 Be 0.6667 0.3333 0.8980
9 B 0.3333 0.6667 0.1357
10 B 0.3333 0.6667 0.3643
11 B 0.3333 0.6667 0.6357
12 B 0.3333 0.6667 0.8643
13 O 0.0242 0.3895 0.1367
14 O 0.0242 0.3895 0.3633
15 O 0.0242 0.6347 0.6367
16 O 0.0242 0.6347 0.8633
17 O 0.3653 0.3895 0.6367
18 O 0.3653 0.3895 0.8633
19 O 0.3653 0.9758 0.1367
20 O 0.3653 0.9758 0.3633
21 O 0.6105 0.6347 0.1367
22 O 0.6105 0.6347 0.3633
23 O 0.6105 0.9758 0.6367
24 O 0.6105 0.9758 0.8633
25 O 0.6667 0.3333 0.0000
26 O 0.6667 0.3333 0.5000

---

# 5
Material: Zr6Sb2Pt
Method: DFT, GGA-PBEsol
State: relaxed

- N(E_F): 6.23 states/eV per cell
- ΔE_f (raw): -0.7689 eV per atom
- Total moment: 0.0 μB per formula unit

Cell lengths 7.7815, 7.7815, 3.6583 Å; angles 90.00, 90.00, 120.00 degrees
Fractional coordinates of all 9 atoms:
1 Zr 0.0000 0.4050 0.0000
2 Zr 0.0000 0.7479 0.5000
3 Zr 0.2521 0.2521 0.5000
4 Zr 0.4050 0.0000 0.0000
5 Zr 0.5950 0.5950 0.0000
6 Zr 0.7479 0.0000 0.5000
7 Sb 0.3333 0.6667 0.5000
8 Sb 0.6667 0.3333 0.5000
9 Pt 0.0000 0.0000 0.0000

---

# 6
Material: BiTeIO3
Method: DFT, GGA-PBEsol
State: relaxed

- N(E_F): 0.00 states/eV per cell
- ΔE_f (raw): -1.0092 eV per atom
- Total moment: 0.0 μB per formula unit

Cell lengths 9.1278, 6.9975, 7.8932 Å; angles 90.00, 105.20, 90.00 degrees
Fractional coordinates of all 24 atoms:
1 Bi 0.0915 0.1348 0.3246
2 Bi 0.0915 0.3652 0.8246
3 Bi 0.9085 0.6348 0.1754
4 Bi 0.9085 0.8652 0.6754
5 Te 0.2402 0.6867 0.5096
6 Te 0.2402 0.8133 0.0096
7 Te 0.7598 0.1867 0.9904
8 Te 0.7598 0.3133 0.4904
9 I 0.3686 0.1522 0.6533
10 I 0.3686 0.3478 0.1533
11 I 0.6314 0.6522 0.8467
12 I 0.6314 0.8478 0.3467
13 O 0.0617 0.6514 0.9681
14 O 0.0617 0.8486 0.4681
15 O 0.1130 0.0070 0.8787
16 O 0.1130 0.4930 0.3787
17 O 0.2124 0.6261 0.7369
18 O 0.2124 0.8739 0.2369
19 O 0.7876 0.1261 0.7631
20 O 0.7876 0.3739 0.2631
21 O 0.8870 0.5070 0.6213
22 O 0.8870 0.9930 0.1213
23 O 0.9383 0.1514 0.5319
24 O 0.9383 0.3486 0.0319

---

# 7
Material: CsCd3Au
Method: DFT, GGA-PBEsol
State: relaxed

- Calculated total energy: -1.767 eV/atom
- N(E_F): 1.51 states/eV per cell
- Total moment: 0.0 μB per formula unit

Cell lengths 5.3362, 5.3362, 5.3362 Å; angles 90.00, 90.00, 90.00 degrees
Fractional coordinates of all 5 atoms:
1 Cs 0.0000 0.0000 0.0000
2 Cd 0.0000 0.5000 0.5000
3 Cd 0.5000 0.0000 0.5000
4 Cd 0.5000 0.5000 0.0000
5 Au 0.5000 0.5000 0.5000

---

# 8
Material: KZrAl2
Method: DFT, GGA-PBEsol
State: relaxed

- N(E_F): 2.43 states/eV per cell
- Energy above the lowest structure with this stoichiometry: 0.00 eV/f.u.
- Total moment: 0.0 μB per formula unit

Cell lengths 10.8914, 10.8914, 10.8914 Å; angles 16.41, 16.41, 16.41 degrees
Fractional coordinates of all 4 atoms:
1 K 0.0000 0.0000 0.0000
2 Zr 0.5000 0.5000 0.5000
3 Al 0.2404 0.2404 0.2404
4 Al 0.7596 0.7596 0.7596

---

# 9
Material: Cd2GaSn2
Method: DFT, GGA-PBEsol
State: relaxed

- Calculated total energy: -2.669 eV/atom
- N(E_F): 1.43 states/eV per cell
- Total moment: 0.0 μB per formula unit

Cell lengths 7.0664, 7.0664, 7.0664 Å; angles 142.51, 142.51, 54.06 degrees
Fractional coordinates of all 5 atoms:
1 Cd 0.2500 0.7500 0.5000
2 Cd 0.7500 0.2500 0.5000
3 Ga 0.0000 0.0000 0.0000
4 Sn 0.3907 0.3907 0.0000
5 Sn 0.6093 0.6093 0.0000

---

# 10
Material: BSBr2
Method: DFT, GGA-PBEsol
State: relaxed

- N(E_F): 4.04 states/eV per cell
- ΔE_f (raw): 1.4756 eV per atom
- Total moment: 0.0 μB per formula unit

Cell lengths 4.7062, 4.7062, 4.7062 Å; angles 60.00, 60.00, 60.00 degrees
Fractional coordinates of all 4 atoms:
1 B 0.0000 0.0000 0.0000
2 S 0.5000 0.5000 0.5000
3 Br 0.2500 0.2500 0.2500
4 Br 0.7500 0.7500 0.7500

---

# 11
Material: PrMgGa
Method: DFT, GGA-PBEsol
State: relaxed

- Calculated total energy: -3.909 eV/atom
- N(E_F): 1.93 states/eV per cell
- Total moment: 0.0 μB per formula unit

Cell lengths 7.4241, 7.4241, 4.5036 Å; angles 90.00, 90.00, 120.00 degrees
Fractional coordinates of all 9 atoms:
1 Pr 0.0000 0.5777 0.0000
2 Pr 0.4223 0.4223 0.0000
3 Pr 0.5777 0.0000 0.0000
4 Mg 0.0000 0.2429 0.5000
5 Mg 0.2429 0.0000 0.5000
6 Mg 0.7571 0.7571 0.5000
7 Ga 0.0000 0.0000 0.0000
8 Ga 0.3333 0.6667 0.5000
9 Ga 0.6667 0.3333 0.5000

---

# 12
Material: Al2FeB
Method: DFT, GGA-PBEsol
State: relaxed

- Calculated total energy: -6.243 eV/atom
- N(E_F): 5.55 states/eV per cell
- Total moment: 0.0 μB per formula unit

Cell lengths 3.2798, 4.6623, 5.9584 Å; angles 90.00, 90.00, 90.00 degrees
Fractional coordinates of all 8 atoms:
1 Al 0.0000 0.1276 0.0000
2 Al 0.0000 0.8724 0.5000
3 Al 0.5000 0.3356 0.3402
4 Al 0.5000 0.6644 0.8402
5 Fe 0.0000 0.3685 0.6466
6 Fe 0.0000 0.6315 0.1466
7 B 0.5000 0.1379 0.6918
8 B 0.5000 0.8621 0.1918